Entry 1:
First-principles (GGA-PBE) data for a relaxed SiHg3 crystal, as listed in Alexandria via LeMat-Bulk. Values from VASP.

space group: I4/mmm (139)
volume: 23.9 Å³ per atom

Structure (Quantum ESPRESSO input):
```
&SYSTEM
  ibrav = 0, nat = 8, ntyp = 2
/
ATOMIC_SPECIES
Hg 200.59 Hg.upf
Si 28.09 Si.upf
CELL_PARAMETERS angstrom
-2.110 2.110 10.751
2.110 -2.110 10.751
2.110 2.110 -10.751
ATOMIC_POSITIONS crystal
Hg 0.750 0.250 0.500
Hg 0.000 0.500 0.500
Hg 0.250 0.750 0.500
Hg 0.877 0.877 0.000
Hg 0.123 0.123 0.000
Hg 0.500 0.000 0.500
Si 0.651 0.651 0.000
Si 0.349 0.349 0.000
```

=====

Entry 2:
First-principles (GGA-PBE) data for a relaxed SiHg2 crystal, as listed in Alexandria via LeMat-Bulk. Values from VASP.

space group: R3m (160)
volume: 23.4 Å³ per atom

Structure (Quantum ESPRESSO input):
```
&SYSTEM
  ibrav = 0, nat = 3, ntyp = 2
/
ATOMIC_SPECIES
Si 28.09 Si.upf
Hg 200.59 Hg.upf
CELL_PARAMETERS angstrom
-4.040 -3.006 3.475
-1.035 -5.223 3.014
-0.944 -2.431 5.535
ATOMIC_POSITIONS crystal
Si 0.000 0.000 0.000
Hg 0.563 0.563 0.563
Hg 0.770 0.770 0.770
```

=====

Entry 3:
First-principles (GGA-PBE) data for a relaxed Si4Hg crystal, as listed in Alexandria via LeMat-Bulk. Values from VASP.

space group: I4/m (87)
volume: 17.3 Å³ per atom

Structure (Quantum ESPRESSO input):
```
&SYSTEM
  ibrav = 0, nat = 5, ntyp = 2
/
ATOMIC_SPECIES
Si 28.09 Si.upf
Hg 200.59 Hg.upf
CELL_PARAMETERS angstrom
-3.319 -4.153 -1.572
0.770 4.443 3.225
-0.826 2.966 -4.610
ATOMIC_POSITIONS crystal
Si 0.866 0.354 0.220
Si 0.134 0.646 0.780
Si 0.354 0.134 0.488
Si 0.646 0.866 0.512
Hg 0.000 0.000 0.000
```

=====

no.,excess energy over the best structure of this formula in the dataset (meV per atom)
1,211
2,291
3,170